TbThSb2: relaxed, PBE-GGA.

The value obtained for the formation energy from raw total energies is -0.805 eV per atom. The energy above the lowest structure with this stoichiometry comes out at 228.4 meV/atom. The calculation puts the density of states at the Fermi level at 0.931 states/eV per atom.

abc: 3.5491 5.6163 5.6163
angles: 90.00 90.00 90.00
Fractional coordinates of all 4 atoms:
Sb  0.0000  0.5000  0.0000
Th  0.5000  0.5000  0.5000
Sb  0.0000  0.0000  0.5000
Tb  0.5000  0.0000  0.0000


K3SnI: relaxed, PBE-GGA.

The value obtained for the formation energy from raw total energies is -0.352 eV per atom. The energy above the lowest structure with this stoichiometry comes out at 0.0 meV/atom. The calculation puts the density of states at the Fermi level at 0.362 states/eV per atom.

abc: 6.5474 6.5474 6.5474
angles: 90.00 90.00 90.00
Last column: magnetic moment on the atom in μB.
Fractional coordinates of all 5 atoms:
K  0.5000  0.0000  0.0000  0.01
K  0.0000  0.5000  0.0000  0.01
K  0.0000  0.0000  0.5000  0.00
I  0.0000  0.0000  0.0000  0.01
Sn  0.5000  0.5000  0.5000  0.57


Pr15Nd4Sm: relaxed, PBE-GGA.

Its electronic total energy is -4.76 eV/atom. The calculation puts the density of states at the Fermi level at 1.521 states/eV per atom.

abc: 5.2456 5.2456 26.1448
angles: 90.00 90.00 90.00
Fractional coordinates of all 20 atoms:
Pr  0.5000  0.0000  0.0994
Pr  0.0000  0.5000  0.7003
Pr  0.0000  0.5000  0.5000
Pr  0.5000  0.5000  0.3999
Pr  0.5000  0.0000  0.7003
Pr  0.5000  0.5000  0.1995
Pr  0.0000  0.5000  0.2997
Nd  0.0000  0.0000  0.8004
Pr  0.0000  0.5000  0.0994
Pr  0.5000  0.0000  0.5000
Pr  0.5000  0.5000  0.0000
Sm  0.0000  0.0000  0.0000
Nd  0.0000  0.0000  0.3999
Nd  0.0000  0.0000  0.6001
Pr  0.5000  0.0000  0.9006
Pr  0.5000  0.5000  0.8005
Pr  0.5000  0.0000  0.2997
Pr  0.5000  0.5000  0.6001
Pr  0.0000  0.5000  0.9006
Nd  0.0000  0.0000  0.1996


Y2NbAlH: relaxed, PBE-GGA.

Its electronic total energy is -6.19 eV/atom. The calculation puts the density of states at the Fermi level at 0.489 states/eV per atom.

abc: 4.6928 4.6928 4.3061
angles: 90.00 90.00 90.00
Fractional coordinates of all 5 atoms:
Nb  0.0000  0.0000  0.5000
Al  0.5000  0.5000  0.5000
Y  0.5000  0.0000  0.0000
H  0.0000  0.0000  0.0000
Y  0.0000  0.5000  0.0000